NaNi2S3 PBE relaxed; E_form (uncorrected) = -42.7 kJ per mole of atoms; space-group type = Cmcm (63); energy relative to the lowest polymorph listed for this composition = 96 meV/atom; total moment = 0.0 μB/f.u.; E_tot = -27.9 eV/f.u.
1.0
3.3723 -6.0247 0.0000
3.3723 6.0247 0.0000
0.0000 0.0000 5.3482
Na Ni S
2 4 6
direct
0.2005 0.7995 0.7500 Na
0.7995 0.2005 0.2500 Na
0.3064 0.3064 0.0000 Ni
0.3064 0.3064 0.5000 Ni
0.6936 0.6936 0.0000 Ni
0.6936 0.6936 0.5000 Ni
0.0398 0.2892 0.7500 S
0.2892 0.0398 0.2500 S
0.4046 0.5954 0.2500 S
0.5954 0.4046 0.7500 S
0.7108 0.9602 0.7500 S
0.9602 0.7108 0.2500 S